(1)
Here is crystalline TbAlZnAu2 at its relaxed geometry from Alexandria via LeMat-Bulk. Energies are from GGA-PBE.

The structure belongs to space group I-4m2 (No. 119); the cell edges are 4.0203, 4.0203 and 12.3738 Å and the angles 90.00°, 90.00° and 90.00°. The asymmetric unit holds Tb at (0.0000, 0.0000, 0.0000), Al at (0.0000, 0.5000, 0.2500), Zn at (0.0000, 0.5000, 0.7500) and Au at (0.0000, 0.0000, 0.3885).

The uncorrected energy comes out at -3.849 eV/atom.



(2)
Here is crystalline HfGaAu at its relaxed geometry from Alexandria via LeMat-Bulk. Energies are from GGA-PBE.

The structure belongs to space group P-6m2 (No. 187); the cell edges are 4.3697, 4.3697 and 6.7075 Å and the angles 90.00°, 90.00° and 120.00°. The asymmetric unit holds Hf at (0.0000, 0.0000, 0.0000), Hf at (0.0000, 0.0000, 0.5000), Ga at (0.6667, 0.3333, 0.2110) and Au at (0.3333, 0.6667, 0.2864).

The uncorrected energy comes out at -5.929 eV/atom.



(3)
Here is crystalline PrHo3ErSc at its relaxed geometry from Alexandria via LeMat-Bulk. Energies are from GGA-PBE.

The structure belongs to space group Cmcm (No. 63); the cell edges are 4.9603, 14.8640 and 9.9667 Å and the angles 90.00°, 90.00° and 90.00°. The asymmetric unit holds Pr at (0.0000, 0.0028, 0.2500), Ho at (0.0000, 0.1681, 0.9998), Ho at (0.0000, 0.3300, 0.2500), Er at (0.0000, 0.5000, 0.0000) and Sc at (0.0000, 0.3314, 0.7500).

The uncorrected energy comes out at -4.860 eV/atom.



Calculated D(E_F) in order - 5.284; 1.866; 35.687 states/eV/cell